Here is a geometry-optimized MnPO4 structure from Alexandria. Energies are from PBE with a Hubbard U.

a b c (Å): 5.563 5.565 5.570
angles (deg): 116.33 106.17 106.08
Atoms (fractional coordinates):
Mn  0.240  0.371  0.112
Mn  0.760  0.629  0.888
P  0.252  0.875  0.627
P  0.748  0.125  0.373
O  0.068  0.870  0.791
O  0.078  0.698  0.275
O  0.421  0.223  0.790
O  0.431  0.710  0.641
O  0.569  0.290  0.359
O  0.579  0.777  0.210
O  0.922  0.302  0.725
O  0.932  0.130  0.209

Properties
- DOS at the Fermi energy (states/eV per cell) = 0.662
- uncorrected energy (eV per atom) = -7.28
- space-group type = P-1, No. 2